An optimized crystal structure of In2NiHF, computed with PBE+U.

Computed properties:
total energy = -12.7 eV per cell

Unit cell a=5.021 b=5.021 c=2.884 alpha=90.00 beta=90.00 gamma=90.00
Space group P4/mmm (No. 123)
Unique sites:
In  0.000  0.500  0.000 (multiplicity 2)
Ni  0.000  0.000  0.500 (multiplicity 1)
H  0.500  0.500  0.000 (multiplicity 1)
F  0.500  0.500  0.500 (multiplicity 1)